{
  "formula": "Ac2NdFeO6",
  "functional": "GGA+U",
  "state": "optimized geometry",
  "space_group": "C2/m",
  "dft_energy_ev_per_cell": -75.7,
  "vol_a3_per_atom": 15.29,
  "lattice_angstrom": [[5.168, -2.906, 0.000], [5.168, 2.906, 0.000], [-3.103, 0.000, 5.090]],
  "species": ["Ac", "Ac", "Nd", "Fe", "O", "O", "O", "O", "O", "O"],
  "frac_coords": [[0.241, 0.241, 0.222], [0.759, 0.759, 0.778], [0.000, 0.000, 0.500], [0.500, 0.500, 0.000], [0.201, 0.672, 0.162], [0.259, 0.259, 0.649], [0.328, 0.799, 0.838], [0.672, 0.201, 0.162], [0.741, 0.741, 0.351], [0.799, 0.328, 0.838]]
}